Here is a geometry-optimized SbMo2Cl structure from Alexandria via LeMat-Bulk. Energies are from GGA-PBE.

It has space group P2/m (No. 10), with a = 3.5892 Å, b = 3.4821 Å, c = 6.7874 Å, α = 90.00°, β = 90.08° and γ = 90.00°. Symmetry generates all atoms from Sb at (0.0000, 0.0000, 0.0000), Mo at (0.5005, 0.5000, 0.1793) and Cl at (0.5000, 0.0000, 0.5000).

The uncorrected formation energy comes out at 0.3300 eV per atom. The calculated density is 6.83 Mg/m³. The total DFT energy (no corrections) comes out at -6.58 eV per atom. The calculation puts the polymorph energy (0 for the lowest one) at 1.72 eV per formula unit. The crystal system is monoclinic.